(1)
PBE La2Mg5Cd12, optimized geometry; crystal system = trigonal
1.0
-7.077 -0.379 2.982
1.448 -5.171 5.503
1.041 4.915 5.820
Cd Mg La
12 5 2
direct
0.356 0.356 0.848
0.356 0.848 0.356
0.000 0.293 0.707
0.644 0.152 0.644
0.293 0.707 0.000
0.644 0.644 0.152
0.707 0.000 0.293
0.152 0.644 0.644
0.848 0.356 0.356
0.293 0.000 0.707
0.000 0.707 0.293
0.707 0.293 0.000
0.000 0.500 0.000
0.500 0.000 0.000
0.000 0.000 0.500
0.102 0.102 0.102
0.898 0.898 0.898
0.336 0.336 0.336
0.664 0.664 0.664

***

(2)
PBE LaPmHo2P4, optimized geometry; crystal system = monoclinic
1.0
-0.261 3.398 -2.276
-0.156 -3.953 -5.884
-6.728 -1.589 -1.601
La P Ho Pm
1 4 2 1
direct
0.500 0.500 0.000
0.500 0.239 0.751
0.000 0.237 0.257
0.000 0.763 0.743
0.500 0.761 0.249
0.500 0.000 0.500
0.000 0.000 0.000
0.000 0.500 0.500

***

(3)
PBE NaTl5Pb6, optimized geometry; crystal system = monoclinic
1.0
6.009 0.862 -1.190
-2.013 7.501 -0.068
0.479 0.860 7.704
Pb Tl Na
6 5 1
direct
0.747 0.914 0.581
0.240 0.746 0.746
0.253 0.086 0.419
0.747 0.581 0.914
0.253 0.419 0.086
0.760 0.254 0.254
0.500 0.500 0.500
0.000 0.671 0.329
0.500 0.837 0.163
0.500 0.163 0.837
0.000 0.329 0.671
0.000 0.000 0.000

***

(4)
PBE La5Nd6Th2, optimized geometry; crystal system = orthorhombic
1.0
-2.959 1.696 1.364
-5.391 -10.454 1.302
8.157 -1.735 19.856
La Nd Th
10 12 4
direct
0.500 0.000 0.500
0.500 0.810 0.083
0.500 0.442 0.706
0.500 0.058 0.206
0.500 0.558 0.294
0.500 0.942 0.794
0.500 0.500 0.000
0.500 0.310 0.417
0.500 0.190 0.917
0.500 0.690 0.583
0.500 0.185 0.625
0.500 0.685 0.875
0.500 0.315 0.125
0.000 0.583 0.439
0.000 0.436 0.851
0.000 0.564 0.149
0.000 0.417 0.561
0.500 0.815 0.375
0.000 0.064 0.351
0.000 0.917 0.939
0.000 0.936 0.649
0.000 0.083 0.061
0.000 0.694 0.735
0.000 0.194 0.765
0.000 0.306 0.265
0.000 0.806 0.235

***

Computed energy of formation from the pure elements, in the same sequence as the records: -0.23, -1.58, -0.03, 0.10 eV/atom.
Computed uncorrected energy, in the same sequence as the records: -0.064, -0.244, -0.109, -0.189 hartree per atom.